! GGA-PBE Mg2Cd6In3, relaxed; values from VASP
! formation energy from the elements: 25 meV/atom
! DOS(E_F): 3.94 states/eV/f.u.
! final energy: -16.617 eV per formula unit
! space group: C2/m
! ρ: 6.54 g cm⁻³
&SYSTEM
  ibrav = 0, nat = 11, ntyp = 3
/
ATOMIC_SPECIES
Mg 24.30 Mg.upf
Cd 112.41 Cd.upf
In 114.82 In.upf
CELL_PARAMETERS angstrom
3.218 0.000 -0.859
0.247 11.255 0.927
0.280 1.072 7.507
ATOMIC_POSITIONS angstrom
Mg 3.161 11.681 5.388
Mg 0.584 0.646 2.187
Cd 3.387 2.925 6.233
Cd 2.628 9.522 3.388
Cd 2.078 3.284 1.330
Cd 0.358 9.401 1.342
Cd 1.117 2.804 4.187
Cd 1.667 9.042 6.245
In 1.383 5.588 5.183
In 2.362 6.738 2.392
In 0.124 5.627 0.463


! GGA-PBE LaSi2NiIr, relaxed; values from VASP
! DOS(E_F): 4.32 states/eV/f.u.
! ΔE_f (raw): -20.12 kcal/mol of atoms
! final energy: -34.779 eV per formula unit
! space group: I-4m2
! ρ: 8.59 g cm⁻³
&SYSTEM
  ibrav = 0, nat = 5, ntyp = 4
/
ATOMIC_SPECIES
La 138.91 La.upf
Si 28.09 Si.upf
Ni 58.69 Ni.upf
Ir 192.22 Ir.upf
CELL_PARAMETERS angstrom
-2.441 -3.284 -0.417
-0.299 -0.297 4.092
-2.713 4.836 -1.915
ATOMIC_POSITIONS angstrom
La 0.000 0.000 0.000
Si -2.420 -1.007 1.818
Si -3.033 2.262 -0.057
Ni -2.191 1.374 2.007
Ir -3.262 -0.120 -0.247